A relaxed ZrRu3F crystal. Source: Alexandria, functional PBE.

Cell: 4.8813 4.8813 4.8813 Å, 90.00 90.00 90.00°
Closest atoms and distances in Å follow each position.
Element x y z (fractional)
F  0.5000  0.5000  0.5000  12 Ru 3.45
Ru  0.0000  0.5000  0.0000  2 Zr 2.44
Ru  0.5000  0.0000  0.0000  2 Zr 2.44
Ru  0.0000  0.0000  0.5000  2 Zr 2.44
Zr  0.0000  0.0000  0.0000  6 Ru 2.44

A relaxed ZrRuF2 crystal. Source: Alexandria, functional PBE.

Cell: 3.7136 3.7136 8.1670 Å, 76.86 76.86 90.00°
Closest atoms and distances in Å follow each position.
Element x y z (fractional)
Zr  0.5000  0.5000  0.0000  4 F 2.31
Zr  0.2500  0.7500  0.5000  4 F 2.31
Ru  0.7500  0.2500  0.5000  4 F 2.37, 4 Zr 2.63
Ru  0.0000  0.0000  0.0000  4 F 2.37, 4 Zr 2.63
F  0.6047  0.1250  0.2500  2 Zr 2.31, 2 Ru 2.37, 2 F 2.52
F  0.1453  0.6250  0.2500  2 Zr 2.31, 2 Ru 2.37, 2 F 2.52
F  0.3750  0.3953  0.7500  2 Zr 2.31, 2 Ru 2.37, 2 F 2.52
F  0.8750  0.8547  0.7500  2 Zr 2.31, 2 Ru 2.37, 2 F 2.52

A relaxed ZrRuF3 crystal. Source: Alexandria, functional PBE.

Cell: 4.2921 4.2921 4.2921 Å, 90.00 90.00 90.00°
Closest atoms and distances in Å follow each position.
Element x y z (fractional)
Zr  0.0000  0.0000  0.0000  6 F 2.15
F  0.5000  0.0000  0.0000  2 Zr 2.15
F  0.0000  0.5000  0.0000  2 Zr 2.15
F  0.0000  0.0000  0.5000  2 Zr 2.15
Ru  0.5000  0.5000  0.5000  12 F 3.04

A relaxed Zr3RuF crystal. Source: Alexandria, functional PBE.

Cell: 4.4706 4.4706 4.4706 Å, 90.00 90.00 90.00°
Closest atoms and distances in Å follow each position.
Element x y z (fractional)
Zr  0.0000  0.0000  0.5000  2 F 2.24
Zr  0.5000  0.0000  0.0000  2 F 2.24
Zr  0.0000  0.5000  0.0000  2 F 2.24
Ru  0.5000  0.5000  0.5000  12 Zr 3.16
F  0.0000  0.0000  0.0000  6 Zr 2.24

| no. | formation energy without anion corrections (meV per atom) | polymorph energy (0 for the lowest one) (meV per atom) | DFT total energy (eV/atom) |
| --- | --- | --- | --- |
| 1 | 1690 | 1285 | -5.9597 |
| 2 | -1319 | 0 | -6.7105 |
| 3 | -1393 | 0 | -6.0803 |
| 4 | -483 | 0 | -7.8416 |